U2AgCl11: relaxed, PBE-GGA.

Cell lengths 11.619, 11.619, 11.619 Å; angles 126.83, 97.09, 106.09 degrees
Positions (direct):
U: 0.082 0.231 0.313
U: 0.418 0.731 0.149
U: 0.582 0.269 0.851
U: 0.918 0.769 0.687
Ag: 0.250 0.750 0.500
Ag: 0.750 0.250 0.500
Cl: 0.000 0.000 0.000
Cl: 0.049 0.019 0.325
Cl: 0.100 0.438 0.285
Cl: 0.153 0.815 0.715
Cl: 0.159 0.440 0.598
Cl: 0.194 0.519 0.970
Cl: 0.306 0.276 0.325
Cl: 0.341 0.940 0.281
Cl: 0.347 0.062 0.662
Cl: 0.400 0.685 0.338
Cl: 0.451 0.776 0.970
Cl: 0.500 0.500 0.000
Cl: 0.549 0.224 0.030
Cl: 0.600 0.315 0.662
Cl: 0.653 0.938 0.338
Cl: 0.659 0.060 0.719
Cl: 0.694 0.724 0.675
Cl: 0.806 0.481 0.030
Cl: 0.841 0.560 0.402
Cl: 0.847 0.185 0.285
Cl: 0.900 0.562 0.715
Cl: 0.951 0.981 0.675

Computed properties:
crystal system	orthorhombic
E_form (uncorrected)	-1.44	eV per atom